a | BeGeS2Cl: optimized geometry, GGA-PBE.

total magnetization = 0.000 μB/cell

```
5
Lattice="-1.461 2.081 3.531 -1.337 -3.785 1.678 4.130 -0.556 2.036" Properties=species:S:1:pos:R:3 pbc="T T T"
Be 0.000 0.000 0.000
Ge 0.666 -1.130 3.623
S -0.668 -1.893 0.839
S -0.730 1.041 1.765
Cl 2.065 -0.278 1.018
```

=====

b | BeGeS2Cl: optimized geometry, GGA-PBE.

total magnetization = 0.000 μB/cell

```
5
Lattice="4.724 0.000 0.000 0.000 4.724 0.000 0.000 0.000 4.773" Properties=species:S:1:pos:R:3 pbc="T T T"
Be 2.362 2.362 2.386
Ge 0.000 0.000 0.000
S 0.000 2.362 0.000
S 2.362 0.000 0.000
Cl 0.000 0.000 2.386
```

=====

According to the calculations, the structures order from most to least stable as a, b.

=====

a | BeGeSCl2: optimized geometry, GGA-PBE.

total magnetization = 0.197 μB/cell

```
5
Lattice="-0.281 0.948 -4.775 -1.845 -4.448 -0.774 -4.500 1.759 0.614" Properties=species:S:1:pos:R:3 pbc="T T T"
Be -3.313 -0.870 -2.468
Ge 0.000 0.000 0.000
S -2.250 0.880 0.307
Cl -0.922 -2.224 -0.387
Cl -0.141 0.474 -2.388
```

=====

b | BeGeSCl2: optimized geometry, GGA-PBE.

total magnetization = 0.000 μB/cell

```
5
Lattice="4.310 0.000 0.000 0.000 4.310 0.000 0.000 0.000 4.891" Properties=species:S:1:pos:R:3 pbc="T T T"
Be 0.000 0.000 0.000
Ge 2.155 2.155 2.446
S 0.000 0.000 2.446
Cl 0.000 2.155 0.000
Cl 2.155 0.000 0.000
```

=====

According to the calculations, the structures order from most to least stable as b, a.

=====

a | LaBe2HCl: optimized geometry, GGA-PBE.

total magnetization = 0.000 μB/cell

```
5
Lattice="-1.540 -2.789 2.283 2.758 -3.582 -2.514 2.936 0.469 2.554" Properties=species:S:1:pos:R:3 pbc="T T T"
Be 1.468 0.235 1.277
Be -0.770 -1.394 1.142
Cl 2.077 -2.951 1.162
H 0.000 0.000 0.000
La 1.379 -1.791 -1.257
```

=====

b | LaBe2HCl: optimized geometry, GGA-PBE.

total magnetization = 0.359 μB/cell

```
5
Lattice="5.959 0.000 0.000 0.000 5.536 0.000 0.000 0.000 5.959" Properties=species:S:1:pos:R:3 pbc="T T T"
Be 0.000 0.000 2.979
Be 2.979 0.000 0.000
Cl 0.000 2.768 0.000
H 2.979 2.768 2.979
La 0.000 0.000 0.000
```

=====

According to the calculations, the structures order from most to least stable as a, b.